Entry 1:
# GGA-PBE Pm4IrSBr2, optimized geometry
# Raw total energy: -5.743 eV per atom
# Formation energy from raw total energies: -30.566 kcal/mol of atoms
# Calculated volume: 222.7 Å³ per cell
data_Pm4IrSBr2
_chemical_formula_sum 'Pm4 Ir1 S1 Br2'
_cell_length_a 4.046
_cell_length_b 7.372
_cell_length_c 7.829
_cell_angle_alpha 107.55
_cell_angle_beta 90.00
_cell_angle_gamma 90.00
_symmetry_space_group_name_H-M 'P 1'
_symmetry_Int_Tables_number 1
loop_
_symmetry_equiv_pos_as_xyz
'x,y,z'
loop_
_atom_site_label
_atom_site_fract_x
_atom_site_fract_y
_atom_site_fract_z
Pm1 0.500 0.234 0.200
Pm2 0.500 0.766 0.800
Pm3 0.000 0.283 0.799
Pm4 0.000 0.717 0.201
Ir1 0.500 0.500 0.000
S1 0.000 0.000 0.000
Br1 0.500 0.000 0.500
Br2 0.000 0.500 0.500

Entry 2:
# GGA-PBE AlPb5, optimized geometry
# Raw total energy: -3.392 eV per atom
# Energy above the most stable polymorph in this dataset: 218 meV/atom
# Calculated volume: 205.9 Å³ per cell
data_AlPb5
_chemical_formula_sum 'Al1 Pb5'
_cell_length_a 6.301
_cell_length_b 6.301
_cell_length_c 5.987
_cell_angle_alpha 90.00
_cell_angle_beta 90.00
_cell_angle_gamma 120.00
_symmetry_space_group_name_H-M 'P 1'
_symmetry_Int_Tables_number 1
loop_
_symmetry_equiv_pos_as_xyz
'x,y,z'
loop_
_atom_site_label
_atom_site_fract_x
_atom_site_fract_y
_atom_site_fract_z
Al1 0.000 0.000 0.000
Pb1 0.333 0.667 0.000
Pb2 0.667 0.333 0.000
Pb3 0.500 0.000 0.500
Pb4 0.000 0.500 0.500
Pb5 0.500 0.500 0.500

Entry 3:
# GGA-PBE NaAgHgF6, optimized geometry
# Raw total energy: -3.294 eV per atom
# Formation energy from raw total energies: -35.725 kcal/mol of atoms
# Calculated volume: 284.3 Å³ per cell
data_NaAgHgF6
_chemical_formula_sum 'Na2 Ag2 Hg2 F12'
_cell_length_a 5.179
_cell_length_b 5.179
_cell_length_c 10.598
_cell_angle_alpha 90.00
_cell_angle_beta 90.00
_cell_angle_gamma 90.00
_symmetry_space_group_name_H-M 'P 1'
_symmetry_Int_Tables_number 1
loop_
_symmetry_equiv_pos_as_xyz
'x,y,z'
loop_
_atom_site_label
_atom_site_fract_x
_atom_site_fract_y
_atom_site_fract_z
Na1 0.500 0.500 0.167
Na2 0.000 0.000 0.667
Ag1 0.500 0.500 0.833
Ag2 0.000 0.000 0.333
Hg1 0.500 0.500 0.499
Hg2 0.000 0.000 0.999
F1 0.188 0.812 0.488
F2 0.812 0.188 0.488
F3 0.312 0.312 0.988
F4 0.688 0.688 0.988
F5 0.186 0.814 0.178
F6 0.814 0.186 0.178
F7 0.314 0.314 0.678
F8 0.686 0.686 0.678
F9 0.792 0.208 0.835
F10 0.208 0.792 0.835
F11 0.708 0.708 0.335
F12 0.292 0.292 0.335